(1)
SmYErAl | PBE | relaxed

a b c (Å): 5.3758 5.3758 5.3758
angles (deg): 60.00 60.00 60.00
Last column: nearest neighbours and their distance in Å.
Sites, in units of the cell vectors:
Y 0.7500 0.7500 0.7500  4 Al 3.29, 4 Er 3.29
Al 0.5000 0.5000 0.5000  4 Sm 3.29, 4 Y 3.29
Sm 0.2500 0.2500 0.2500  4 Al 3.29, 4 Er 3.29
Er 0.0000 0.0000 0.0000  4 Sm 3.29, 4 Y 3.29

Summary:
Size of the total moment ... 0.1 μB/f.u.
Electronic total energy ... -19.76 eV/cell
Energy of formation from the pure elements ... -0.27 eV/f.u.
Polymorph energy (0 for the lowest one) ... 0.1345 eV per atom

(2)
Co2PbBr | PBE | relaxed

a b c (Å): 3.4785 3.4781 7.5974
angles (deg): 90.14 90.00 90.00
Last column: nearest neighbours and their distance in Å.
Sites, in units of the cell vectors:
Br 0.5000 0.8739 0.8671  4 Co 2.55
Co 0.0000 0.8748 0.1129  4 Co 2.46, 2 Br 2.55
Co 0.5000 0.3750 0.1129  4 Co 2.46, 2 Br 2.55
Pb 0.0000 0.3764 0.4071  4 Co 2.83

Summary:
Formation energy without anion corrections ... 103 kJ/mol of formula units
Size of the total moment ... 4.1 μB/f.u.
Electronic total energy ... -18.53 eV/cell
Polymorph energy (0 for the lowest one) ... 0.0000 eV per atom

(3)
ZrGaHS2 | PBE | relaxed

a b c (Å): 4.9647 5.6150 4.9647
angles (deg): 90.00 90.00 90.00
Last column: nearest neighbours and their distance in Å.
Sites, in units of the cell vectors:
H 0.5000 0.5000 0.5000  4 Ga 3.51, 8 S 3.75
S 0.0000 0.0000 0.5000  2 Zr 2.48
S 0.5000 0.0000 0.0000  2 Zr 2.48
Ga 0.0000 0.5000 0.0000  2 Zr 2.81
Zr 0.0000 0.0000 0.0000  4 S 2.48

Summary:
Size of the total moment ... 1.0 μB/f.u.
Electronic total energy ... -22.74 eV/cell